Entry 1:
VASP calculation (GGA-PBE) on a geometry-optimized Sc3Ga9Tc2 structure.

Computed properties:
Its formation enthalpy at 0 K is -0.431 eV per atom. As for the total DFT energy (no corrections): -73.0 eV/f.u. The value obtained for the density is 6.675 g/cm3.

Cell and atoms, written as CIF:
```
data_Sc3Ga9Tc2
_symmetry_space_group_name_H-M 'I m m m'
_symmetry_Int_Tables_number 71
_symmetry_space_group_name_Hall '-I 2 2'
_cell_length_a 4.1469
_cell_length_b 9.4031
_cell_length_c 12.2277
_cell_angle_alpha 90.00
_cell_angle_beta 90.00
_cell_angle_gamma 90.00
loop_
_atom_site_label
_atom_site_fract_x
_atom_site_fract_y
_atom_site_fract_z
_atom_site_occupancy
Sc1 0.0000 0.0000 0.0000 1
Sc2 0.0000 0.0000 0.3002 1
Ga1 0.0000 0.2865 0.1372 1
Ga2 0.0000 0.3682 0.3501 1
Ga3 0.0000 0.5000 0.0000 1
Tc1 0.0000 0.1690 0.5000 1
```

=====

Entry 2:
VASP calculation (GGA-PBE) on a geometry-optimized ScGa6Tc structure.

Computed properties:
Its formation enthalpy at 0 K is -0.186 eV per atom. As for the total DFT energy (no corrections): -36.3 eV/f.u. The value obtained for the density is 6.310 g/cm3.

Cell and atoms, written as CIF:
```
data_ScGa6Tc
_symmetry_space_group_name_H-M 'R -3 m'
_symmetry_Int_Tables_number 166
_symmetry_space_group_name_Hall '-R 3 2"'
_cell_length_a 9.1261
_cell_length_b 9.1261
_cell_length_c 6.1437
_cell_angle_alpha 90.00
_cell_angle_beta 90.00
_cell_angle_gamma 120.00
loop_
_atom_site_label
_atom_site_fract_x
_atom_site_fract_y
_atom_site_fract_z
_atom_site_occupancy
Sc1 0.0000 0.0000 0.0000 1
Ga1 0.0305 0.5152 0.2911 1
Tc1 0.0000 0.0000 0.5000 1
```